The following is a DFT calculation (PBE) of Tb3Mn2Fe7 after structural relaxation.

```
data_Tb3Mn2Fe7
_cell_length_a 5.072
_cell_length_b 5.072
_cell_length_c 8.615
_cell_angle_alpha 72.88
_cell_angle_beta 72.88
_cell_angle_gamma 60.00
_symmetry_space_group_name_H-M 'P 1'
_symmetry_Int_Tables_number 1
_symmetry_space_group_name_Hall 'P 1'
loop_
_atom_site_label
_atom_site_fract_x
_atom_site_fract_y
_atom_site_fract_z
Fe1 0.581 0.581 0.758
Fe2 0.500 0.500 0.500
Fe3 0.419 0.919 0.242
Fe4 0.581 0.081 0.758
Fe5 0.919 0.419 0.242
Fe6 0.081 0.581 0.758
Fe7 0.419 0.419 0.242
Tb1 0.000 0.000 0.000
Tb2 0.141 0.141 0.576
Tb3 0.859 0.859 0.424
Mn1 0.333 0.333 0.002
Mn2 0.667 0.667 0.998
```

Values from the calculation:
The calculation puts the total energy at -0.2802 Ha/atom. As for the space group: R-3m.



The following is a DFT calculation (PBE) of TbMn10Fe2 after structural relaxation.

```
data_TbMn10Fe2
_cell_length_a 6.355
_cell_length_b 6.355
_cell_length_c 8.027
_cell_angle_alpha 90.00
_cell_angle_beta 90.00
_cell_angle_gamma 97.98
_symmetry_space_group_name_H-M 'P 1'
_symmetry_Int_Tables_number 1
_symmetry_space_group_name_Hall 'P 1'
loop_
_atom_site_label
_atom_site_fract_x
_atom_site_fract_y
_atom_site_fract_z
Mn1 0.392 0.130 0.750
Mn2 0.170 0.830 0.893
Mn3 0.130 0.392 0.250
Mn4 0.605 0.395 0.569
Mn5 0.395 0.605 0.069
Mn6 0.517 0.749 0.750
Mn7 0.774 0.774 0.500
Mn8 0.605 0.395 0.931
Mn9 0.608 0.870 0.250
Mn10 0.870 0.608 0.750
Mn11 0.170 0.830 0.607
Mn12 0.226 0.226 0.000
Mn13 0.483 0.251 0.250
Mn14 0.749 0.517 0.250
Mn15 0.830 0.170 0.107
Mn16 0.251 0.483 0.750
Mn17 0.774 0.774 0.000
Mn18 0.395 0.605 0.431
Mn19 0.226 0.226 0.500
Mn20 0.830 0.170 0.393
Fe1 0.000 0.500 0.000
Fe2 0.000 0.500 0.500
Fe3 0.500 0.000 0.000
Fe4 0.500 0.000 0.500
Tb1 0.879 0.121 0.750
Tb2 0.121 0.879 0.250
```

Values from the calculation:
The calculation puts the total energy at -0.3193 Ha/atom. As for the space group: Cmcm.



The following is a DFT calculation (PBE) of MnFeTc2 after structural relaxation.

```
data_MnFeTc2
_cell_length_a 2.642
_cell_length_b 3.707
_cell_length_c 5.263
_cell_angle_alpha 90.00
_cell_angle_beta 90.00
_cell_angle_gamma 90.00
_symmetry_space_group_name_H-M 'P 1'
_symmetry_Int_Tables_number 1
_symmetry_space_group_name_Hall 'P 1'
loop_
_atom_site_label
_atom_site_fract_x
_atom_site_fract_y
_atom_site_fract_z
Tc1 0.500 0.500 0.270
Tc2 0.000 0.000 0.981
Mn1 0.500 0.500 0.743
Fe1 0.000 0.000 0.506
```

Values from the calculation:
As for the space group: Pmm2. For the energy above the most stable polymorph in this dataset, the calculation gives 82 meV per atom.



The following is a DFT calculation (PBE) of MnFeTc2 after structural relaxation.

```
data_MnFeTc2
_cell_length_a 8.666
_cell_length_b 8.666
_cell_length_c 8.666
_cell_angle_alpha 17.56
_cell_angle_beta 17.56
_cell_angle_gamma 17.56
_symmetry_space_group_name_H-M 'P 1'
_symmetry_Int_Tables_number 1
_symmetry_space_group_name_Hall 'P 1'
loop_
_atom_site_label
_atom_site_fract_x
_atom_site_fract_y
_atom_site_fract_z
Fe1 0.250 0.250 0.250
Tc1 0.001 0.001 0.001
Tc2 0.499 0.499 0.499
Mn1 0.750 0.750 0.750
```

Values from the calculation:
As for the space group: R-3m. For the energy above the most stable polymorph in this dataset, the calculation gives 108 meV per atom.



The following is a DFT calculation (PBE) of Mn3FeTc after structural relaxation.

```
data_Mn3FeTc
_cell_length_a 4.217
_cell_length_b 4.217
_cell_length_c 4.217
_cell_angle_alpha 90.00
_cell_angle_beta 90.00
_cell_angle_gamma 90.00
_symmetry_space_group_name_H-M 'P 1'
_symmetry_Int_Tables_number 1
_symmetry_space_group_name_Hall 'P 1'
loop_
_atom_site_label
_atom_site_fract_x
_atom_site_fract_y
_atom_site_fract_z
Mn1 0.000 0.000 0.500
Mn2 0.000 0.500 0.000
Mn3 0.500 0.000 0.000
Fe1 0.000 0.000 0.000
Tc1 0.500 0.500 0.500
```

Values from the calculation:
As for the space group: Pm-3m. For the energy above the most stable polymorph in this dataset, the calculation gives 0 meV per atom.



The following is a DFT calculation (PBE) of MnFe2Tc after structural relaxation.

```
data_MnFe2Tc
_cell_length_a 4.473
_cell_length_b 4.473
_cell_length_c 4.473
_cell_angle_alpha 132.49
_cell_angle_beta 132.49
_cell_angle_gamma 69.46
_symmetry_space_group_name_H-M 'P 1'
_symmetry_Int_Tables_number 1
_symmetry_space_group_name_Hall 'P 1'
loop_
_atom_site_label
_atom_site_fract_x
_atom_site_fract_y
_atom_site_fract_z
Fe1 0.000 0.000 0.000
Fe2 0.500 0.500 0.000
Tc1 0.750 0.250 0.500
Mn1 0.250 0.750 0.500
```

Values from the calculation:
As for the space group: I4/mmm. For the energy above the most stable polymorph in this dataset, the calculation gives 1 meV per atom.



The following is a DFT calculation (PBE) of MnFeTc2 after structural relaxation.

```
data_MnFeTc2
_cell_length_a 2.635
_cell_length_b 2.635
_cell_length_c 7.423
_cell_angle_alpha 90.00
_cell_angle_beta 90.00
_cell_angle_gamma 90.00
_symmetry_space_group_name_H-M 'P 1'
_symmetry_Int_Tables_number 1
_symmetry_space_group_name_Hall 'P 1'
loop_
_atom_site_label
_atom_site_fract_x
_atom_site_fract_y
_atom_site_fract_z
Fe1 0.000 0.000 0.513
Tc1 0.500 0.500 0.265
Tc2 0.000 0.000 0.985
Mn1 0.500 0.500 0.736
```

Values from the calculation:
As for the space group: P4mm. For the energy above the most stable polymorph in this dataset, the calculation gives 64 meV per atom.



The following is a DFT calculation (PBE) of MnFeTc2 after structural relaxation.

```
data_MnFeTc2
_cell_length_a 4.238
_cell_length_b 4.238
_cell_length_c 2.967
_cell_angle_alpha 90.00
_cell_angle_beta 90.00
_cell_angle_gamma 90.00
_symmetry_space_group_name_H-M 'P 1'
_symmetry_Int_Tables_number 1
_symmetry_space_group_name_Hall 'P 1'
loop_
_atom_site_label
_atom_site_fract_x
_atom_site_fract_y
_atom_site_fract_z
Tc1 0.000 0.000 0.000
Tc2 0.500 0.500 0.000
Mn1 0.000 0.500 0.500
Fe1 0.500 0.000 0.500
```

Values from the calculation:
As for the space group: P4/mmm. For the energy above the most stable polymorph in this dataset, the calculation gives 74 meV per atom.